A relaxed structure of Er7TmPb4, computed with PBE-GGA.

Cell: 12.8959 5.7504 11.3490 Å, 90.00 120.77 90.00°
Last column: nearest neighbours and their distance in Å.
Space group C2/m (No. 12)
Symmetry-distinct sites (fractional):
Er1 0.0000 0.0000 0.0000 x2  2 Tm 2.88, 2 Pb 3.18
Er2 0.0408 0.5000 0.3732 x4  4 Er 3.16-3.53, 3 Pb 3.29-3.33
Er3 0.1580 0.0000 0.5690 x4  4 Pb 3.01-3.24
Er4 0.2137 0.5000 0.9011 x4  4 Pb 3.13-3.24, 4 Er 3.16-3.47, 1 Tm 3.47
Tm1 0.0000 0.5000 0.0000 x2  2 Er 2.88
Pb1 0.0859 0.0000 0.7825 x4  7 Er 3.01-3.33
Pb2 0.2120 0.0000 0.3217 x4  6 Er 3.13-3.29, 1 Pb 3.39

The calculation puts the energy of formation at -0.032 eV per atom.

A relaxed structure of ErTmPb2, computed with PBE-GGA.

Cell: 6.2547 11.2465 6.4029 Å, 90.00 90.00 90.00°
Last column: nearest neighbours and their distance in Å.
Space group Pna2_1 (No. 33)
Symmetry-distinct sites (fractional):
Er1 0.1310 0.1194 0.0000 x4  7 Pb 3.16-3.54, 2 Tm 3.41
Tm1 0.1312 0.3802 0.2714 x4  6 Pb 3.16-3.47, 2 Er 3.41
Pb1 0.1370 0.1204 0.4934 x4  3 Er 3.16-3.24, 3 Tm 3.25-3.47, 2 Pb 3.35-3.45
Pb2 0.1365 0.3804 0.7781 x4  3 Tm 3.16-3.24, 4 Er 3.26-3.54, 2 Pb 3.35-3.45

The calculation puts the energy of formation at -0.378 eV per atom.

A relaxed structure of Er3Tm4Pb5, computed with PBE-GGA.

Cell: 11.9527 5.5503 11.0985 Å, 90.00 100.15 90.00°
Last column: nearest neighbours and their distance in Å.
Space group C2/m (No. 12)
Symmetry-distinct sites (fractional):
Er1 0.0000 0.0000 0.0000 x2  2 Pb 2.78
Er2 0.1099 0.5000 0.2667 x4  4 Pb 3.02-3.22
Tm1 0.1299 0.5000 0.5883 x4  5 Pb 3.17-3.45, 2 Tm 3.37-3.40, 2 Er 3.53
Tm2 0.2181 0.5000 0.8965 x4  3 Pb 3.03-3.17, 1 Er 3.36
Pb1 0.0000 0.5000 0.0000 x2  4 Er 2.78-3.02, 2 Tm 3.03
Pb2 0.1056 0.0000 0.4135 x4  3 Tm 3.17-3.37, 2 Er 3.22, 2 Pb 3.25-3.43
Pb3 0.1360 0.0000 0.7741 x4  2 Er 3.15-3.22, 4 Tm 3.17-3.45, 1 Pb 3.25

The calculation puts the energy of formation at -0.167 eV per atom.